A plane-wave DFT calculation with GGA+U was carried out for NiIrPtO6 after structural relaxation.

a b c (Å): 5.160 5.160 8.767
angles (deg): 90.00 90.00 120.00
Fractional positions:
Ni  0.000  0.000  0.000
Ni  0.000  0.000  0.500
Ir  0.333  0.667  0.250
Ir  0.667  0.333  0.750
Pt  0.333  0.667  0.750
Pt  0.667  0.333  0.250
O  0.007  0.351  0.128
O  0.007  0.656  0.372
O  0.344  0.351  0.372
O  0.344  0.993  0.128
O  0.351  0.007  0.628
O  0.351  0.344  0.872
O  0.649  0.656  0.128
O  0.649  0.993  0.372
O  0.656  0.007  0.872
O  0.656  0.649  0.628
O  0.993  0.344  0.628
O  0.993  0.649  0.872

## Properties
- energy (eV per formula unit) = -52.53
- total moment (μB/cell) = 9.05
- space group = P-31c (163)